The following is a DFT calculation (PBE) of an optimized crystal structure of RuBrF2.

Cell lengths 8.3203, 3.2806, 5.4853 Å; angles 90.00, 90.00, 90.00 degrees
Positions (direct):
Ru 0.0000 0.0000 0.0000
Ru 0.5000 0.0000 0.0000
Br 0.2500 0.0000 0.2437
Br 0.7500 0.0000 0.7563
F 0.0739 0.5000 0.8024
F 0.4261 0.5000 0.8024
F 0.5739 0.5000 0.1976
F 0.9261 0.5000 0.1976

## Properties
Formation energy (no corrections) = -1.023 eV/atom
Energy above the lowest structure with this stoichiometry = 0.0000 eV/atom
Magnetic moment = 0.80 μB per formula unit

The following is a DFT calculation (PBE) of an optimized crystal structure of PrNd5Rh4.

Cell lengths 9.5764, 9.5764, 7.6238 Å; angles 113.39, 113.39, 26.15 degrees
Positions (direct):
Pr 0.0000 0.0000 0.0000
Nd 0.0000 0.0000 0.5000
Nd 0.3352 0.3352 0.0792
Nd 0.3352 0.3352 0.5907
Nd 0.6648 0.6648 0.4093
Nd 0.6648 0.6648 0.9208
Rh 0.1977 0.1977 0.1977
Rh 0.5001 0.5001 0.2602
Rh 0.4999 0.4999 0.7398
Rh 0.8023 0.8023 0.8023

## Properties
E_form = -5.36 eV/f.u.
Magnetic moment = 0.00 μB per formula unit

The following is a DFT calculation (PBE) of an optimized crystal structure of Tl2CuI.

Cell lengths 8.0132, 8.0132, 8.0132 Å; angles 90.00, 90.00, 90.00 degrees
Positions (direct):
Tl 0.2500 0.2500 0.2500
Tl 0.2500 0.2500 0.7500
Tl 0.2500 0.7500 0.2500
Tl 0.2500 0.7500 0.7500
Tl 0.7500 0.2500 0.2500
Tl 0.7500 0.2500 0.7500
Tl 0.7500 0.7500 0.2500
Tl 0.7500 0.7500 0.7500
Cu 0.0000 0.0000 0.0000
Cu 0.0000 0.5000 0.5000
Cu 0.5000 0.0000 0.5000
Cu 0.5000 0.5000 0.0000
I 0.0000 0.0000 0.5000
I 0.0000 0.5000 0.0000
I 0.5000 0.0000 0.0000
I 0.5000 0.5000 0.5000

## Properties
Formation energy (no corrections) = 0.176 eV/atom
Energy above the lowest structure with this stoichiometry = 0.1125 eV/atom
Magnetic moment = 0.00 μB per formula unit

The following is a DFT calculation (PBE) of an optimized crystal structure of Pm2Al2AgPd5.

Cell lengths 10.3843, 10.3843, 3.4825 Å; angles 90.00, 90.00, 90.00 degrees
Positions (direct):
Pm 0.1767 0.3233 0.0000
Pm 0.3233 0.8233 0.0000
Pm 0.6767 0.1767 0.0000
Pm 0.8233 0.6767 0.0000
Al 0.1232 0.6232 0.0000
Al 0.3768 0.1232 0.0000
Al 0.6232 0.8768 0.0000
Al 0.8768 0.3768 0.0000
Ag 0.0000 0.0000 0.0000
Ag 0.5000 0.5000 0.0000
Pd 0.0000 0.5000 0.5000
Pd 0.0613 0.7918 0.5000
Pd 0.2082 0.0613 0.5000
Pd 0.2918 0.5613 0.5000
Pd 0.4387 0.2918 0.5000
Pd 0.5000 0.0000 0.5000
Pd 0.5613 0.7082 0.5000
Pd 0.7082 0.4387 0.5000
Pd 0.7918 0.9387 0.5000
Pd 0.9387 0.2082 0.5000

## Properties
E_form = -6.40 eV/f.u.
Magnetic moment = 0.00 μB per formula unit

Question: What is the formula in the second record?
Answer: PrNd5Rh4

Copy entry 1 word for word.
The following is a DFT calculation (PBE) of an optimized crystal structure of RuBrF2.

Cell lengths 8.3203, 3.2806, 5.4853 Å; angles 90.00, 90.00, 90.00 degrees
Positions (direct):
Ru 0.0000 0.0000 0.0000
Ru 0.5000 0.0000 0.0000
Br 0.2500 0.0000 0.2437
Br 0.7500 0.0000 0.7563
F 0.0739 0.5000 0.8024
F 0.4261 0.5000 0.8024
F 0.5739 0.5000 0.1976
F 0.9261 0.5000 0.1976

## Properties
Formation energy (no corrections) = -1.023 eV/atom
Energy above the lowest structure with this stoichiometry = 0.0000 eV/atom
Magnetic moment = 0.80 μB per formula unit